Density functional theory data (GGA+U) for an optimized crystal structure of CaCrTeO6.

Computed properties:
The value obtained for the electronic total energy is -116.002 eV/cell.

Structure (POSCAR):
```
CaCrTeO6
1.0
5.1659 0.0000 0.0000
-2.5830 4.4738 0.0000
0.0000 0.0000 10.2029
Ca Cr Te O
2 2 2 12
Cartesian
0.0000 0.0000 0.0000 Ca
0.0000 0.0000 5.1015 Ca
0.0000 2.9825 2.5507 Cr
2.5830 1.4913 7.6522 Cr
0.0000 2.9825 7.6522 Te
2.5830 1.4913 2.5507 Te
-0.9547 1.6676 6.5684 O
-1.6161 2.8132 8.7360 O
0.9547 1.6676 8.7360 O
-0.6614 4.4668 6.5684 O
1.9215 0.0070 1.4670 O
0.9669 1.6606 3.6345 O
1.6161 2.8132 6.5684 O
0.6614 4.4668 8.7360 O
3.2444 0.0070 3.6345 O
1.6283 2.8062 1.4670 O
4.1990 1.6606 1.4670 O
3.5376 2.8062 3.6345 O
```